# 1
DFT (PBE) results for a relaxed TmFeNi4 crystal.

Cell lengths 6.995, 3.710, 6.391 Å; angles 90.00, 90.00, 90.00 degrees
Atoms (fractional coordinates):
Tm1 0.250 0.000 0.144
Tm2 0.750 0.000 0.856
Fe1 0.250 0.000 0.723
Fe2 0.750 0.000 0.277
Ni1 0.000 0.000 0.500
Ni2 0.053 0.500 0.802
Ni3 0.250 0.500 0.469
Ni4 0.447 0.500 0.802
Ni5 0.500 0.000 0.500
Ni6 0.553 0.500 0.198
Ni7 0.750 0.500 0.531
Ni8 0.947 0.500 0.198

Properties
DOS at the Fermi energy = 8.46 states/eV per cell
ΔH_f (0 K) = -0.13 eV per atom



# 2
DFT (PBE) results for a relaxed Tm4FeNi crystal.

Cell lengths 7.382, 7.382, 7.382 Å; angles 106.29, 106.29, 116.04 degrees
Atoms (fractional coordinates):
Tm1 0.199 0.000 0.199
Tm2 0.237 0.530 0.294
Tm3 0.237 0.943 0.706
Tm4 0.280 0.487 0.794
Tm5 0.693 0.487 0.206
Tm6 0.750 0.051 0.301
Tm7 0.750 0.449 0.699
Tm8 0.801 0.000 0.801
Fe1 0.245 0.245 0.000
Fe2 0.995 0.495 0.500
Ni1 0.490 0.990 0.500
Ni2 0.740 0.740 0.000

Properties
DOS at the Fermi energy = 9.29 states/eV per cell
ΔH_f (0 K) = -0.05 eV per atom